[1]
DFT (PBE) results for crystalline Re3Sb at its relaxed geometry.

Geometry as CIF:
```
data_Re3Sb
_cell_length_a 5.7603
_cell_length_b 5.7603
_cell_length_c 9.0440
_cell_angle_alpha 90.00
_cell_angle_beta 90.00
_cell_angle_gamma 120.00
_symmetry_space_group_name_H-M 'P 63/m m c'
_symmetry_Int_Tables_number 194
_symmetry_space_group_name_Hall '-P 6c 2c'
loop_
_atom_site_label
_atom_site_type_symbol
_atom_site_fract_x
_atom_site_fract_y
_atom_site_fract_z
Re1 Re 0.0000 0.5000 0.0000
Re2 Re 0.1676 0.3352 0.2500
Sb1 Sb 0.0000 0.0000 0.0000
Sb2 Sb 0.3333 0.6667 0.7500
```

Energy relative to the elements, uncorrected, meV per atom: 758
E above lowest polymorph, eV per atom: 0.340



[2]
DFT (PBE) results for crystalline YTl2Se at its relaxed geometry.

Geometry as CIF:
```
data_YTl2Se
_cell_length_a 4.3487
_cell_length_b 4.3487
_cell_length_c 5.9314
_cell_angle_alpha 90.00
_cell_angle_beta 90.00
_cell_angle_gamma 90.00
_symmetry_space_group_name_H-M 'P 4/m m m'
_symmetry_Int_Tables_number 123
_symmetry_space_group_name_Hall '-P 4 2'
loop_
_atom_site_label
_atom_site_type_symbol
_atom_site_fract_x
_atom_site_fract_y
_atom_site_fract_z
Y1 Y 0.0000 0.0000 0.0000
Tl1 Tl 0.5000 0.5000 0.2543
Se1 Se 0.0000 0.0000 0.5000
```

Energy relative to the elements, uncorrected, meV per atom: -344
E above lowest polymorph, eV per atom: 0.349



[3]
DFT (PBE) results for crystalline LaYScAl at its relaxed geometry.

Geometry as CIF:
```
data_LaYScAl
_cell_length_a 7.5586
_cell_length_b 7.5586
_cell_length_c 7.5586
_cell_angle_alpha 90.00
_cell_angle_beta 90.00
_cell_angle_gamma 90.00
_symmetry_space_group_name_H-M 'F -4 3 m'
_symmetry_Int_Tables_number 216
_symmetry_space_group_name_Hall 'F -4 2 3'
loop_
_atom_site_label
_atom_site_type_symbol
_atom_site_fract_x
_atom_site_fract_y
_atom_site_fract_z
La1 La 0.0000 0.0000 0.0000
Y1 Y 0.0000 0.0000 0.5000
Sc1 Sc 0.2500 0.2500 0.7500
Al1 Al 0.2500 0.2500 0.2500
```

Calculated formation energy, eV per atom: -0.114



Looking at DOS(E_F) for the records above, in order, we have 1.537; 0.898; 1.178 states/eV per atom.
Looking at calculated density for the records above, in order, we have 17.4; 8.5; 4.6 g/cm³.